Record 1
TbPr2NdHo2 | Alexandria | PBE-GGA | optimized geometry; DOS at the Fermi energy = 1.55 states/eV/atom; calculated formation energy = 64 meV/atom; total magnetic moment = 0.000 μB/cell
1.0
5.721 0.000 0.000
0.000 7.094 0.000
0.000 0.000 9.902
Tb Pr Nd Ho
2 4 2 4
Direct
0.000 0.007 0.500
0.000 0.507 0.500
0.500 0.008 0.000
0.000 0.258 0.174
0.500 0.508 0.000
0.000 0.758 0.826
0.500 0.257 0.660
0.500 0.757 0.340
0.000 0.258 0.835
0.500 0.257 0.332
0.000 0.758 0.165
0.500 0.757 0.668

Record 2
Tb6Pr3Nd2Ho | Alexandria | PBE-GGA | optimized geometry; DOS at the Fermi energy = 1.25 states/eV/atom; calculated formation energy = 14 meV/atom; total magnetic moment = 0.000 μB/cell
1.0
-1.400 -6.037 0.964
2.003 3.554 4.764
-11.305 3.794 0.548
Tb Pr Nd Ho
6 3 2 1
Direct
0.917 0.585 0.752
0.750 0.750 0.248
0.083 0.415 0.248
0.585 0.917 0.752
0.250 0.250 0.752
0.415 0.083 0.248
0.167 0.833 0.500
0.833 0.167 0.500
0.500 0.500 0.500
0.333 0.667 0.000
0.667 0.333 0.000
0.000 0.000 0.000

Record 3
TbPr6Nd2Ho | Alexandria | PBE-GGA | optimized geometry; DOS at the Fermi energy = 1.50 states/eV/atom; calculated formation energy = 112 meV/atom; total magnetic moment = 0.000 μB/cell
1.0
-1.094 8.711 -4.613
-8.037 0.372 4.116
7.286 2.594 4.676
Tb Pr Nd Ho
2 12 4 2
Direct
0.250 0.979 0.021
0.750 0.021 0.979
0.054 0.119 0.754
0.446 0.246 0.881
0.946 0.881 0.246
0.554 0.754 0.119
0.310 0.987 0.428
0.190 0.572 0.013
0.690 0.013 0.572
0.810 0.428 0.987
0.119 0.706 0.498
0.381 0.502 0.294
0.881 0.294 0.502
0.619 0.498 0.706
0.457 0.805 0.706
0.043 0.294 0.195
0.543 0.195 0.294
0.957 0.706 0.805
0.250 0.409 0.591
0.750 0.591 0.409

Record 4
Tb5Pr2NdHo | Alexandria | PBE-GGA | optimized geometry; DOS at the Fermi energy = 1.24 states/eV/atom; calculated formation energy = 265 meV/atom; total magnetic moment = 0.000 μB/cell
1.0
-6.279 -5.707 -2.101
0.831 -3.796 7.830
-2.709 9.644 0.084
Tb Pr Nd Ho
10 4 2 2
Direct
0.928 0.428 0.279
0.649 0.149 0.721
0.072 0.572 0.721
0.149 0.072 0.721
0.572 0.649 0.721
0.851 0.928 0.279
0.428 0.351 0.279
0.351 0.851 0.279
0.500 0.500 0.000
0.000 0.000 0.000
0.118 0.382 0.000
0.618 0.118 0.000
0.382 0.882 0.000
0.882 0.618 0.000
0.250 0.250 0.500
0.750 0.750 0.500
0.250 0.750 0.500
0.750 0.250 0.500

Record 5
TbPr4Nd2Ho2 | Alexandria | PBE-GGA | optimized geometry; DOS at the Fermi energy = 1.64 states/eV/atom; calculated formation energy = 21 meV/atom; total magnetic moment = 0.000 μB/cell
1.0
-2.335 3.852 -2.544
0.984 -6.277 -5.148
-6.813 -1.334 4.232
Tb Pr Nd Ho
1 4 2 2
Direct
0.000 0.000 0.000
0.778 0.556 0.670
0.222 0.444 0.330
0.555 0.109 0.330
0.445 0.891 0.670
0.888 0.777 0.330
0.112 0.223 0.670
0.333 0.666 0.000
0.667 0.334 0.000

Record 6
TbPr2Nd4Ho | Alexandria | PBE-GGA | optimized geometry; DOS at the Fermi energy = 1.48 states/eV/atom; calculated formation energy = 14 meV/atom; total magnetic moment = 0.000 μB/cell
1.0
5.184 0.000 0.000
0.000 5.056 1.039
0.000 3.007 11.151
Tb Pr Nd Ho
1 2 4 1
Direct
0.500 0.500 0.000
0.000 0.000 0.000
0.500 0.000 0.500
0.000 0.752 0.749
0.000 0.248 0.251
0.500 0.750 0.250
0.500 0.250 0.750
0.000 0.500 0.500

Record 7
Tb2Pr4Nd2Ho | Alexandria | PBE-GGA | optimized geometry; DOS at the Fermi energy = 1.54 states/eV/atom; calculated formation energy = 15 meV/atom; total magnetic moment = 0.000 μB/cell
1.0
-4.057 -3.177 -0.416
5.951 -3.917 4.002
-4.083 4.502 5.438
Tb Pr Nd Ho
2 4 2 1
Direct
0.889 0.779 0.331
0.111 0.221 0.669
0.778 0.556 0.667
0.222 0.444 0.333
0.554 0.109 0.333
0.446 0.891 0.667
0.334 0.668 0.000
0.666 0.332 0.000
0.000 0.000 0.000

Record 8
TbPr2NdHo4 | Alexandria | PBE-GGA | optimized geometry; DOS at the Fermi energy = 2.50 states/eV/atom; calculated formation energy = 408 meV/atom; total magnetic moment = 0.171 μB/cell
1.0
9.385 0.003 -1.744
-0.004 9.385 -1.744
-5.996 -6.000 8.352
Tb Pr Nd Ho
2 4 2 8
Direct
0.500 0.500 0.500
0.000 0.000 0.000
0.500 0.000 0.000
0.500 0.000 0.500
0.000 0.000 0.500
0.500 0.500 0.000
0.000 0.500 0.000
0.000 0.500 0.500
0.246 0.754 0.000
0.746 0.254 0.500
0.254 0.746 0.500
0.754 0.246 0.000
0.750 0.750 0.996
0.750 0.750 0.504
0.250 0.250 0.496
0.250 0.250 0.004